(1)
This record from Alexandria describes an optimized crystal structure of Ba4Fe. The functional is PBEsol.

Summary:
Fermi-level density of states ... 1.52 states/eV/atom
Energy above the lowest structure with this stoichiometry ... 144.2 meV/atom
Magnetic moment ... 2.3 μB/f.u.

Cell lengths 6.6284, 6.6284, 6.6284 Å; angles 109.47, 109.47, 109.47 degrees
Last column: nearest neighbours and their distance in Å.
Element x y z (fractional)
Fe 0.0000 0.0000 0.0000  8 Ba 3.31
Ba 0.5000 0.5000 0.5000  2 Fe 3.31
Ba 0.5000 0.0000 0.0000  2 Fe 3.31
Ba 0.0000 0.5000 0.0000  2 Fe 3.31
Ba 0.0000 0.0000 0.5000  2 Fe 3.31

***

(2)
This record from Alexandria describes an optimized crystal structure of Ba3Fe. The functional is PBEsol.

Summary:
Fermi-level density of states ... 1.92 states/eV/atom
Energy above the lowest structure with this stoichiometry ... 105.0 meV/atom
Magnetic moment ... 2.9 μB/f.u.

Cell lengths 4.0261, 6.9397, 6.9397 Å; angles 116.35, 101.15, 101.15 degrees
Last column: nearest neighbours and their distance in Å.
Element x y z (fractional)
Ba 0.0000 0.0000 0.5000  6 Ba 3.66-4.03, 2 Fe 3.66
Ba 0.5000 0.5000 0.5000  2 Fe 3.66, 6 Ba 3.66-4.03
Ba 0.0000 0.5000 0.0000  6 Ba 3.66-4.03, 2 Fe 3.66
Fe 0.5000 0.0000 0.0000  6 Ba 3.66, 2 Fe 4.03

***

(3)
This record from Alexandria describes an optimized crystal structure of Ba3Fe. The functional is PBEsol.

Summary:
Fermi-level density of states ... 1.88 states/eV/atom
Energy above the lowest structure with this stoichiometry ... 0.0 meV/atom
Magnetic moment ... 2.6 μB/f.u.

Cell lengths 5.9488, 5.9488, 5.9488 Å; angles 60.00, 60.00, 60.00 degrees
Last column: nearest neighbours and their distance in Å.
Element x y z (fractional)
Ba 0.5000 0.5000 0.5000  8 Ba 3.64
Ba 0.2500 0.2500 0.2500  4 Ba 3.64, 4 Fe 3.64
Ba 0.7500 0.7500 0.7500  4 Ba 3.64, 4 Fe 3.64
Fe 0.0000 0.0000 0.0000  8 Ba 3.64

***

(4)
This record from Alexandria describes an optimized crystal structure of BaFe3. The functional is PBEsol.

Summary:
Fermi-level density of states ... 1.47 states/eV/atom
Uncorrected energy ... -6.0355 eV per atom
Magnetic moment ... 7.3 μB/f.u.

Cell lengths 4.0620, 4.0620, 4.0620 Å; angles 90.00, 90.00, 90.00 degrees
Last column: nearest neighbours and their distance in Å.
Element x y z (fractional)
Fe 0.0000 0.5000 0.5000  4 Ba 2.87, 8 Fe 2.87
Fe 0.5000 0.5000 0.0000  4 Ba 2.87, 8 Fe 2.87
Fe 0.5000 0.0000 0.5000  4 Ba 2.87, 8 Fe 2.87
Ba 0.0000 0.0000 0.0000  12 Fe 2.87

***

(5)
This record from Alexandria describes an optimized crystal structure of BaFe. The functional is PBEsol.

Summary:
Fermi-level density of states ... 2.51 states/eV/atom
Uncorrected energy ... -4.2801 eV per atom
Magnetic moment ... 2.3 μB/f.u.

Cell lengths 4.5019, 4.5019, 4.5019 Å; angles 60.00, 60.00, 60.00 degrees
Last column: nearest neighbours and their distance in Å.
Element x y z (fractional)
Fe 0.5000 0.5000 0.5000  6 Ba 3.18
Ba 0.0000 0.0000 0.0000  6 Fe 3.18

***

(6)
This record from Alexandria describes an optimized crystal structure of BaFe3. The functional is PBEsol.

Summary:
Fermi-level density of states ... 1.36 states/eV/atom
Uncorrected energy ... -6.1997 eV per atom
Magnetic moment ... 8.3 μB/f.u.

Cell lengths 3.0672, 3.0672, 8.9989 Å; angles 80.19, 80.19, 60.00 degrees
Last column: nearest neighbours and their distance in Å.
Element x y z (fractional)
Ba 0.0000 0.0000 0.0000  6 Ba 3.07, 6 Fe 3.28
Fe 0.2291 0.2291 0.3127  3 Fe 2.42
Fe 0.7709 0.7709 0.6873  3 Fe 2.42
Fe 0.5000 0.5000 0.5000  6 Fe 2.42